# 1
Entry from Alexandria via LeMat-Bulk: a relaxed structure of LiTa2Hg (PBE-GGA).

Calculated values
Space-group type: No. 35
Calculated formation energy (meV/atom): 144
Total energy (Ha/atom): -0.23284

```
data_LiTa2Hg
_chemical_formula_sum 'Li1 Ta2 Hg1'
_symmetry_space_group_name_H-M 'P 1'
_symmetry_Int_Tables_number 1
_cell_length_a 2.865
_cell_length_b 2.865
_cell_length_c 9.460
_cell_angle_alpha 90.00
_cell_angle_beta 90.00
_cell_angle_gamma 105.08
loop_
_symmetry_equiv_pos_as_xyz
'x,y,z'
loop_
_atom_site_label
_atom_site_type_symbol
_atom_site_fract_x
_atom_site_fract_y
_atom_site_fract_z
_atom_site_occupancy
Hg1 Hg 0.000 0.000 0.507 1
Li1 Li 0.500 0.500 0.742 1
Ta1 Ta 0.000 0.000 0.009 1
Ta2 Ta 0.500 0.500 0.242 1
```

# 2
Entry from Alexandria via LeMat-Bulk: a relaxed structure of LiTa2Hg2Te6 (PBE-GGA).

Calculated values
Space-group type: No. 12
Energy relative to the elements, uncorrected (eV/atom): -0.246
Total energy (Ha/atom): -0.15960

```
data_LiTa2Hg2Te6
_chemical_formula_sum 'Li1 Ta2 Hg2 Te6'
_symmetry_space_group_name_H-M 'P 1'
_symmetry_Int_Tables_number 1
_cell_length_a 6.792
_cell_length_b 6.792
_cell_length_c 8.886
_cell_angle_alpha 98.28
_cell_angle_beta 98.28
_cell_angle_gamma 119.96
loop_
_symmetry_equiv_pos_as_xyz
'x,y,z'
loop_
_atom_site_label
_atom_site_type_symbol
_atom_site_fract_x
_atom_site_fract_y
_atom_site_fract_z
_atom_site_occupancy
Li1 Li 0.000 0.000 0.500 1
Ta1 Ta 0.335 0.665 0.500 1
Ta2 Ta 0.665 0.335 0.500 1
Hg1 Hg 0.821 0.179 0.000 1
Hg2 Hg 0.179 0.821 0.000 1
Te1 Te 0.735 0.735 0.700 1
Te2 Te 0.072 0.416 0.698 1
Te3 Te 0.265 0.265 0.300 1
Te4 Te 0.416 0.072 0.698 1
Te5 Te 0.928 0.584 0.302 1
Te6 Te 0.584 0.928 0.302 1
```

# 3
Entry from Alexandria via LeMat-Bulk: a relaxed structure of Li2TaTiHg (PBE-GGA).

Calculated values
Space-group type: No. 123
Calculated formation energy (meV/atom): 1088
Total energy (Ha/atom): -0.13549

```
data_Li2TaTiHg
_chemical_formula_sum 'Li2 Ta1 Ti1 Hg1'
_symmetry_space_group_name_H-M 'P 1'
_symmetry_Int_Tables_number 1
_cell_length_a 4.819
_cell_length_b 4.618
_cell_length_c 4.819
_cell_angle_alpha 90.00
_cell_angle_beta 90.00
_cell_angle_gamma 90.00
loop_
_symmetry_equiv_pos_as_xyz
'x,y,z'
loop_
_atom_site_label
_atom_site_type_symbol
_atom_site_fract_x
_atom_site_fract_y
_atom_site_fract_z
_atom_site_occupancy
Ti1 Ti 0.000 0.000 0.000 1
Li1 Li 0.000 0.000 0.500 1
Li2 Li 0.500 0.000 0.000 1
Hg1 Hg 0.500 0.500 0.500 1
Ta1 Ta 0.000 0.500 0.000 1
```

# 4
Entry from Alexandria via LeMat-Bulk: a relaxed structure of LiTa2VHg (PBE-GGA).

Calculated values
Space-group type: No. 123
Calculated formation energy (meV/atom): 1008
Total energy (Ha/atom): -0.22049

```
data_LiTa2VHg
_chemical_formula_sum 'Li1 Ta2 V1 Hg1'
_symmetry_space_group_name_H-M 'P 1'
_symmetry_Int_Tables_number 1
_cell_length_a 4.595
_cell_length_b 5.239
_cell_length_c 4.595
_cell_angle_alpha 90.00
_cell_angle_beta 90.00
_cell_angle_gamma 90.00
loop_
_symmetry_equiv_pos_as_xyz
'x,y,z'
loop_
_atom_site_label
_atom_site_type_symbol
_atom_site_fract_x
_atom_site_fract_y
_atom_site_fract_z
_atom_site_occupancy
V1 V 0.000 0.000 0.000 1
Li1 Li 0.500 0.500 0.500 1
Hg1 Hg 0.000 0.500 0.000 1
Ta1 Ta 0.000 0.000 0.500 1
Ta2 Ta 0.500 0.000 0.000 1
```

# 5
Entry from Alexandria via LeMat-Bulk: a relaxed structure of LiTaHg2W (PBE-GGA).

Calculated values
Space-group type: No. 123
Calculated formation energy (meV/atom): 1125
Total energy (Ha/atom): -0.15949

```
data_LiTaHg2W
_chemical_formula_sum 'Li1 Ta1 Hg2 W1'
_symmetry_space_group_name_H-M 'P 1'
_symmetry_Int_Tables_number 1
_cell_length_a 4.362
_cell_length_b 4.637
_cell_length_c 4.362
_cell_angle_alpha 90.00
_cell_angle_beta 90.00
_cell_angle_gamma 90.00
loop_
_symmetry_equiv_pos_as_xyz
'x,y,z'
loop_
_atom_site_label
_atom_site_type_symbol
_atom_site_fract_x
_atom_site_fract_y
_atom_site_fract_z
_atom_site_occupancy
Li1 Li 0.000 0.000 0.000 1
Hg1 Hg 0.000 0.000 0.500 1
Hg2 Hg 0.500 0.000 0.000 1
W1 W 0.000 0.500 0.000 1
Ta1 Ta 0.500 0.500 0.500 1
```

# 6
Entry from Alexandria via LeMat-Bulk: a relaxed structure of Li2TbHg2 (PBE-GGA).

Calculated values
Space-group type: No. 12
Calculated formation energy (meV/atom): -345
Total energy (Ha/atom): -0.07928

```
data_Li2TbHg2
_chemical_formula_sum 'Li2 Tb1 Hg2'
_symmetry_space_group_name_H-M 'P 1'
_symmetry_Int_Tables_number 1
_cell_length_a 5.578
_cell_length_b 5.578
_cell_length_c 5.556
_cell_angle_alpha 52.17
_cell_angle_beta 52.17
_cell_angle_gamma 52.08
loop_
_symmetry_equiv_pos_as_xyz
'x,y,z'
loop_
_atom_site_label
_atom_site_type_symbol
_atom_site_fract_x
_atom_site_fract_y
_atom_site_fract_z
_atom_site_occupancy
Li1 Li 0.416 0.416 0.420 1
Li2 Li 0.584 0.584 0.580 1
Tb1 Tb 0.000 0.000 0.000 1
Hg1 Hg 0.777 0.777 0.779 1
Hg2 Hg 0.223 0.223 0.221 1
```

Number 1: total moment 0.00 μB/f.u.. Number 2: total moment 0.00 μB/f.u.. Number 3: total moment 0.00 μB/f.u.. Number 4: total moment 0.00 μB/f.u.. Number 5: total moment 0.00 μB/f.u.. Number 6: total moment 0.00 μB/f.u..